The following is a DFT calculation (PBE-GGA) of a geometry-optimized Zr3SiRu structure.

Results
- Symmetry: Pm-3m

extended XYZ file:
```
5
Lattice="4.8639 0.0000 0.0000 0.0000 4.8639 0.0000 0.0000 0.0000 4.8639" Properties=species:S:1:pos:R:3 pbc="T T T"
Zr 0.0000 0.0000 2.4320
Zr 0.0000 2.4320 0.0000
Zr 2.4320 0.0000 0.0000
Si 0.0000 0.0000 0.0000
Ru 2.4320 2.4320 2.4320
```

***

The following is a DFT calculation (PBE-GGA) of a geometry-optimized Zr2SiRu structure.

Results
- Symmetry: P4mm

extended XYZ file:
```
4
Lattice="3.1169 0.0000 0.0000 0.0000 3.1169 0.0000 0.0000 0.0000 7.3686" Properties=species:S:1:pos:R:3 pbc="T T T"
Zr 0.0000 0.0000 0.0000
Zr 1.5585 1.5585 2.3536
Si 1.5585 1.5585 5.4101
Ru 0.0000 0.0000 4.2305
```

***

Number 1: total magnetic moment 0.81 μB per cell, uncorrected energy -7.541 eV/atom. Number 2: total magnetic moment 0.00 μB per cell, uncorrected energy -8.415 eV/atom.